VASP calculation (GGA-PBE) on an optimized crystal structure of Hf12In3Au.

CIF file:
```
data_Hf12In3Au
_chemical_formula_sum 'Hf12 In3 Au1'
_space_group_name_H-M_alt 'P 4/m m m'
_space_group_IT_number 123
_space_group_name_Hall '-P 4 2'
_cell_length_a 5.161
_cell_length_b 5.161
_cell_length_c 13.039
_cell_angle_alpha 90.00
_cell_angle_beta 90.00
_cell_angle_gamma 90.00
loop_
_atom_site_label
_atom_site_type_symbol
_atom_site_fract_x
_atom_site_fract_y
_atom_site_fract_z
Hf1 Hf 0.000 0.000 0.000
Hf2 Hf 0.000 0.000 0.249
Hf3 Hf 0.000 0.000 0.500
Hf4 Hf 0.000 0.500 0.121
Hf5 Hf 0.000 0.500 0.374
In1 In 0.500 0.500 0.246
In2 In 0.500 0.500 0.500
Au1 Au 0.500 0.500 0.000
```

Output
E_form (eV per atom): -0.04
Calculated total energy (eV/cell): -131.62
Size of the total moment (μB per cell): 0.0